(1)
PmAl3Cu after structural relaxation. Source: Alexandria via LeMat-Bulk, functional PBE-GGA.

Cell: 4.213 4.213 10.663 Å, 90.00 90.00 90.00°
Space group I4mm (No. 107)
Unique sites:
Pm 0.000 0.000 0.000 x2
Al 0.000 0.000 0.408 x2
Al 0.000 0.500 0.249 x4
Cu 0.000 0.000 0.631 x2

Output
excess energy over the best structure of this formula in the dataset: 0.0 kJ per mole of atoms
DFT formation energy: -0.47 eV/atom

(2)
Sr2LiBePt after structural relaxation. Source: Alexandria via LeMat-Bulk, functional PBE-GGA.

Cell: 5.917 5.917 4.439 Å, 90.00 90.00 90.00°
Space group P4/mmm (No. 123)
Unique sites:
Sr 0.000 0.500 0.000 x2
Li 0.000 0.000 0.500 x1
Be 0.500 0.500 0.500 x1
Pt 0.500 0.500 0.000 x1

Output
DFT formation energy: -0.20 eV/atom

(3)
Mn2HgW after structural relaxation. Source: Alexandria via LeMat-Bulk, functional PBE-GGA.

Cell: 2.9706 2.9706 25.6774 Å, 90.00 90.00 120.00°
Space group R-3m (No. 166, hexagonal axes)
Unique sites:
Mn 0.0000 0.0000 0.2422 x6
Hg 0.0000 0.0000 0.0000 x3
W 0.0000 0.0000 0.5000 x3

Output
DFT formation energy: 0.43 eV/atom

(4)
LiNdTe after structural relaxation. Source: Alexandria via LeMat-Bulk, functional PBE-GGA.

Cell: 7.652 4.295 9.148 Å, 90.00 90.00 90.00°
Space group Pnma (No. 62)
Unique sites:
Li 0.150 0.250 0.067 x4
Nd 0.029 0.250 0.667 x4
Te 0.222 0.750 0.880 x4

Output
excess energy over the best structure of this formula in the dataset: 4.8 kJ per mole of atoms

(5)
Sc12AlCd4O3 after structural relaxation. Source: Alexandria via LeMat-Bulk, functional PBE-GGA.

Cell: 9.251 9.251 9.251 Å, 90.00 90.00 90.00°
Space group Im-3m (No. 229)
Unique sites:
Sc 0.000 0.000 0.272 x12
Sc 0.000 0.250 0.500 x12
Al 0.000 0.000 0.000 x2
Cd 0.250 0.250 0.250 x8
O 0.000 0.000 0.500 x6

Output
final energy: -116.81 eV per formula unit

(6)
AlFe2Co after structural relaxation. Source: Alexandria via LeMat-Bulk, functional PBE-GGA.

Cell: 2.871 2.871 5.648 Å, 90.00 90.00 90.00°
Space group P4mm (No. 99)
Unique sites:
Al 0.000 0.000 0.000 x1
Fe 0.000 0.000 0.500 x1
Fe 0.500 0.500 0.742 x1
Co 0.500 0.500 0.256 x1

Output
DFT formation energy: -0.22 eV/atom

(7)
YLuMgPd after structural relaxation. Source: Alexandria via LeMat-Bulk, functional PBE-GGA.

Cell: 7.196 7.196 7.196 Å, 90.00 90.00 90.00°
Space group F-43m (No. 216)
Unique sites:
Y 0.000 0.000 0.000 x4
Lu 0.000 0.000 0.500 x4
Mg 0.250 0.250 0.250 x4
Pd 0.250 0.250 0.750 x4

Output
DFT formation energy: -0.42 eV/atom

(8)
K4NaAu3 after structural relaxation. Source: Alexandria via LeMat-Bulk, functional PBE-GGA.

Cell: 13.160 13.160 6.001 Å, 90.00 90.00 90.00°
Space group I4/mcm (No. 140)
Unique sites:
K 0.086 0.220 0.000 x16
Na 0.000 0.500 0.250 x4
Au 0.000 0.000 0.250 x4
Au 0.149 0.351 0.500 x8

Output
DFT formation energy: -0.25 eV/atom

(9)
Cs2AlHgC after structural relaxation. Source: Alexandria via LeMat-Bulk, functional PBE-GGA.

Cell: 7.299 7.299 3.685 Å, 90.00 90.00 90.00°
Space group P4/mmm (No. 123)
Unique sites:
Cs 0.000 0.500 0.000 x2
Al 0.000 0.000 0.000 x1
Hg 0.500 0.500 0.500 x1
C 0.000 0.000 0.500 x1

Output
DFT formation energy: 0.46 eV/atom

(10)
TcRh6W after structural relaxation. Source: Alexandria via LeMat-Bulk, functional PBE-GGA.

Cell: 7.2436 7.2436 9.0155 Å, 90.00 90.00 120.00°
Space group R-3m (No. 166, hexagonal axes)
Unique sites:
Tc 0.0000 0.0000 0.0000 x3
Rh 0.0753 0.5377 0.3679 x18
W 0.0000 0.0000 0.5000 x3

Output
excess energy over the best structure of this formula in the dataset: 75.1 kJ per mole of atoms
DFT formation energy: 0.66 eV/atom

(11)
CsSiGe2 after structural relaxation. Source: Alexandria via LeMat-Bulk, functional PBE-GGA.

Cell: 5.488 5.488 16.936 Å, 90.00 90.00 90.00°
Space group I4_1/amd (No. 141, origin choice 2)
Unique sites:
Cs 0.000 0.250 0.375 x4
Si 0.000 0.250 0.875 x4
Ge 0.000 0.000 0.000 x8

Output
final energy: -14.72 eV per formula unit

(12)
PaNi2Bi after structural relaxation. Source: Alexandria via LeMat-Bulk, functional PBE-GGA.

Cell: 4.610 4.610 3.564 Å, 90.00 90.00 90.00°
Space group P4/mmm (No. 123)
Unique sites:
Pa 0.000 0.000 0.000 x1
Ni 0.000 0.500 0.500 x2
Bi 0.500 0.500 0.000 x1

Output
excess energy over the best structure of this formula in the dataset: 20.7 kJ per mole of atoms
DFT formation energy: 0.00 eV/atom

(13)
Ni2HgW after structural relaxation. Source: Alexandria via LeMat-Bulk, functional PBE-GGA.

Cell: 2.8423 2.8423 25.8159 Å, 90.00 90.00 120.00°
Space group R-3m (No. 166, hexagonal axes)
Unique sites:
Ni 0.0000 0.0000 0.2443 x6
Hg 0.0000 0.0000 0.0000 x3
W 0.0000 0.0000 0.5000 x3

Output
DFT formation energy: 0.29 eV/atom

(14)
Y2CdHg after structural relaxation. Source: Alexandria via LeMat-Bulk, functional PBE-GGA.

Cell: 3.557 3.557 8.548 Å, 90.00 90.00 90.00°
Space group P4mm (No. 99)
Unique sites:
Y 0.000 0.000 0.000 x1
Y 0.500 0.500 0.305 x1
Cd 0.000 0.000 0.551 x1
Hg 0.500 0.500 0.770 x1

Output
excess energy over the best structure of this formula in the dataset: 19.0 kJ per mole of atoms
DFT formation energy: -0.23 eV/atom

(15)
RbTbSe4 after structural relaxation. Source: Alexandria via LeMat-Bulk, functional PBE-GGA.

Cell: 6.310 6.310 8.715 Å, 90.00 90.00 90.00°
Space group P4/nbm (No. 125, origin choice 2)
Unique sites:
Rb 0.250 0.250 0.000 x2
Tb 0.250 0.250 0.500 x2
Se 0.113 0.613 0.301 x8

Output
final energy: -26.52 eV per formula unit

(16)
Hf2MgReAg after structural relaxation. Source: Alexandria via LeMat-Bulk, functional PBE-GGA.

Cell: 4.970 4.970 4.313 Å, 90.00 90.00 90.00°
Space group P4/mmm (No. 123)
Unique sites:
Hf 0.000 0.500 0.000 x2
Mg 0.000 0.000 0.000 x1
Re 0.500 0.500 0.500 x1
Ag 0.000 0.000 0.500 x1

Output
DFT formation energy: 1.60 eV/atom

(17)
AcAlHg4 after structural relaxation. Source: Alexandria via LeMat-Bulk, functional PBE-GGA.

Cell: 4.660 4.660 8.198 Å, 90.00 90.00 90.00°
Space group P4/mmm (No. 123)
Unique sites:
Ac 0.000 0.000 0.000 x1
Al 0.500 0.500 0.500 x1
Hg 0.000 0.500 0.299 x4

Output
DFT formation energy: -0.09 eV/atom

(18)
MnCo2H2 after structural relaxation. Source: Alexandria via LeMat-Bulk, functional PBE-GGA.

Cell: 2.7036 2.7036 6.4147 Å, 90.00 90.00 120.00°
Space group P-3m1 (No. 164)
Unique sites:
Mn 0.0000 0.0000 0.0000 x1
Co 0.3333 0.6667 0.6926 x2
H 0.3333 0.6667 0.4070 x2

Output
excess energy over the best structure of this formula in the dataset: 0.0 kJ per mole of atoms

(19)
Nd4Dy5Mg after structural relaxation. Source: Alexandria via LeMat-Bulk, functional PBE-GGA.

Cell: 10.746 10.746 5.803 Å, 90.00 90.00 90.00°
Space group I4mm (No. 107)
Unique sites:
Nd 0.000 0.317 0.000 x8
Dy 0.000 0.000 0.199 x2
Dy 0.185 0.185 0.487 x8
Mg 0.000 0.000 0.719 x2

Output
excess energy over the best structure of this formula in the dataset: 8.1 kJ per mole of atoms
DFT formation energy: 0.17 eV/atom

(20)
Mg3Zn2Ga4Ag2 after structural relaxation. Source: Alexandria via LeMat-Bulk, functional PBE-GGA.

Cell: 4.4542 4.4542 12.3013 Å, 90.00 90.00 120.00°
Space group P-3m1 (No. 164)
Unique sites:
Mg 0.0000 0.0000 0.0000 x1
Mg 0.0000 0.0000 0.2671 x2
Zn 0.3333 0.6667 0.5828 x2
Ga 0.3333 0.6667 0.3708 x2
Ga 0.3333 0.6667 0.8875 x2
Ag 0.3333 0.6667 0.1442 x2

Output
DFT formation energy: -0.07 eV/atom

Number 1: theoretical density 5.079 Mg/m³. Number 2: theoretical density 4.127 Mg/m³. Number 3: theoretical density 12.549 Mg/m³. Number 4: theoretical density 6.160 Mg/m³. Number 5: theoretical density 4.463 Mg/m³. Number 6: theoretical density 7.048 Mg/m³. Number 7: theoretical density 7.035 Mg/m³. Number 8: theoretical density 4.923 Mg/m³. Number 9: theoretical density 4.275 Mg/m³. Number 10: theoretical density 10.935 Mg/m³. Number 11: theoretical density 3.989 Mg/m³. Number 12: theoretical density 12.223 Mg/m³. Number 13: theoretical density 13.841 Mg/m³. Number 14: theoretical density 7.535 Mg/m³. Number 15: theoretical density 5.361 Mg/m³. Number 16: theoretical density 10.527 Mg/m³. Number 17: theoretical density 9.851 Mg/m³. Number 18: theoretical density 7.148 Mg/m³. Number 19: theoretical density 7.007 Mg/m³. Number 20: theoretical density 5.487 Mg/m³.